# 1
# Sc2ZnAg | Alexandria | PBE-GGA | relaxed
# V ... 84 Å³/f.u.
# Total DFT energy (no corrections) ... -34.3 eV per cell
# M_tot ... 0.0 μB per cell
# DOS at the Fermi energy ... 1.091 states/eV/atom
# ΔH_f (0 K) ... -33 kJ/mol of formula units
data_Sc2ZnAg
_chemical_formula_sum 'Sc4 Zn2 Ag2'
_cell_length_a 9.157
_cell_length_b 3.319
_cell_length_c 5.638
_cell_angle_alpha 90.00
_cell_angle_beta 102.31
_cell_angle_gamma 90.00
_symmetry_space_group_name_H-M 'C 1 2/m 1'
_symmetry_Int_Tables_number 12
_symmetry_space_group_name_Hall '-C 2y'
loop_
_atom_site_label
_atom_site_fract_x
_atom_site_fract_y
_atom_site_fract_z
_atom_site_occupancy
Sc1 0.247 0.000 0.242 1
Zn1 0.000 0.500 0.000 1
Ag1 0.000 0.000 0.500 1

# 2
# Na4In5Sn2 | Alexandria | PBE-GGA | relaxed
# V ... 302 Å³/f.u.
# Total DFT energy (no corrections) ... -27.9 eV per cell
# M_tot ... 0.0 μB per cell
# DOS at the Fermi energy ... 0.366 states/eV/atom
# ΔH_f (0 K) ... -85 kJ/mol of formula units
data_Na4In5Sn2
_chemical_formula_sum 'Na4 In5 Sn2'
_cell_length_a 9.942
_cell_length_b 3.358
_cell_length_c 10.052
_cell_angle_alpha 90.00
_cell_angle_beta 115.82
_cell_angle_gamma 90.00
_symmetry_space_group_name_H-M 'P 1 2/m 1'
_symmetry_Int_Tables_number 10
_symmetry_space_group_name_Hall '-P 2y'
loop_
_atom_site_label
_atom_site_fract_x
_atom_site_fract_y
_atom_site_fract_z
_atom_site_occupancy
Na1 0.232 0.000 0.233 1
Na2 0.266 0.000 0.733 1
In1 0.088 0.500 0.908 1
In2 0.097 0.500 0.422 1
In3 0.500 0.500 0.500 1
Sn1 0.422 0.500 0.101 1

# 3
# Ba3Ac4Si4 | Alexandria | PBE-GGA | relaxed
# V ... 387 Å³/f.u.
# Total DFT energy (no corrections) ... -93.6 eV per cell
# M_tot ... 0.0 μB per cell
# DOS at the Fermi energy ... 1.039 states/eV/atom
data_Ba3Ac4Si4
_chemical_formula_sum 'Ba6 Ac8 Si8'
_cell_length_a 5.175
_cell_length_b 8.174
_cell_length_c 18.320
_cell_angle_alpha 90.00
_cell_angle_beta 90.00
_cell_angle_gamma 90.00
_symmetry_space_group_name_H-M 'I m m m'
_symmetry_Int_Tables_number 71
_symmetry_space_group_name_Hall '-I 2 2'
loop_
_atom_site_label
_atom_site_fract_x
_atom_site_fract_y
_atom_site_fract_z
_atom_site_occupancy
Ba1 0.000 0.000 0.000 1
Ba2 0.000 0.500 0.098 1
Ac1 0.000 0.276 0.331 1
Si1 0.000 0.000 0.199 1
Si2 0.000 0.159 0.500 1

Please write out number 1 again, unchanged.
# Sc2ZnAg | Alexandria | PBE-GGA | relaxed
# V ... 84 Å³/f.u.
# Total DFT energy (no corrections) ... -34.3 eV per cell
# M_tot ... 0.0 μB per cell
# DOS at the Fermi energy ... 1.091 states/eV/atom
# ΔH_f (0 K) ... -33 kJ/mol of formula units
data_Sc2ZnAg
_chemical_formula_sum 'Sc4 Zn2 Ag2'
_cell_length_a 9.157
_cell_length_b 3.319
_cell_length_c 5.638
_cell_angle_alpha 90.00
_cell_angle_beta 102.31
_cell_angle_gamma 90.00
_symmetry_space_group_name_H-M 'C 1 2/m 1'
_symmetry_Int_Tables_number 12
_symmetry_space_group_name_Hall '-C 2y'
loop_
_atom_site_label
_atom_site_fract_x
_atom_site_fract_y
_atom_site_fract_z
_atom_site_occupancy
Sc1 0.247 0.000 0.242 1
Zn1 0.000 0.500 0.000 1
Ag1 0.000 0.000 0.500 1